The following is a PBE with a Hubbard U calculation of a relaxed structure of Ba2NaCrO4, from Alexandria via LeMat-Bulk.

Lattice parameters (Å, degrees): 5.768 5.768 5.768 115.90 115.90 97.25
Sites, in units of the cell vectors:
1 Ba 0.000 0.000 0.000
2 Ba 0.750 0.250 0.500
3 Na 0.250 0.750 0.500
4 Cr 0.500 0.500 0.000
5 O 0.212 0.176 0.589
6 O 0.377 0.788 0.964
7 O 0.587 0.623 0.411
8 O 0.824 0.413 0.036

Results
Uncorrected energy = -47.97 eV/f.u.
Calculated volume = 143 Å³/cell
Symmetry = I-4